Density functional theory data (GGA-PBE) for an optimized crystal structure of CsAgHgBr6.

Computed properties:
**Energy**: -2.098 eV/atom
**Total magnetization**: 0.198 μB/atom
**Raw formation energy**: -0.54 eV per atom

Geometry as CIF:
```
data_CsAgHgBr6
_symmetry_space_group_name_H-M 'P 3 1 2'
_symmetry_Int_Tables_number 149
_cell_length_a 7.2114
_cell_length_b 7.2114
_cell_length_c 8.0615
_cell_angle_alpha 90.00
_cell_angle_beta 90.00
_cell_angle_gamma 120.00
loop_
_symmetry_equiv_pos_as_xyz
'x,y,z'
'-y,x-y,z'
'-x+y,-x,z'
'-y,-x,-z'
'-x+y,y,-z'
'x,x-y,-z'
loop_
_atom_site_label
_atom_site_type_symbol
_atom_site_fract_x
_atom_site_fract_y
_atom_site_fract_z
Cs1 Cs 0.0000 0.0000 0.0000
Ag1 Ag 0.3333 0.6667 0.5000
Hg1 Hg 0.6667 0.3333 0.5000
Br1 Br 0.0142 0.3914 0.2982
```